(1)
CdGaO3 PBE-GGA optimized geometry; calculated total energy = -4.671 eV/atom; SG = No. 99
1.0
-2.8288 -2.1460 -1.3890
2.4043 -1.5296 -2.5331
0.8750 -2.7759 2.5068
Cd Ga O
1 1 3
direct
0.0000 0.0000 0.0787
0.5000 0.5000 0.5788
0.5000 0.5000 0.0794
0.5000 0.0000 0.5815
0.0000 0.5000 0.5815


(2)
CdGaO3 PBE-GGA optimized geometry; calculated total energy = -4.864 eV/atom; SG = No. 62
1.0
5.5556 0.0000 0.0000
0.0000 5.3184 0.0000
0.0000 0.0000 8.3208
Cd Ga O
4 4 12
direct
0.5000 0.0000 0.0000
0.0000 0.5000 0.0000
0.5000 0.0000 0.5000
0.0000 0.5000 0.5000
0.0579 0.0104 0.2500
0.4421 0.5104 0.2500
0.5579 0.4896 0.7500
0.9421 0.9896 0.7500
0.6182 0.3881 0.0797
0.8818 0.8881 0.0797
0.1368 0.3519 0.2500
0.3632 0.8519 0.2500
0.6182 0.3881 0.4203
0.8818 0.8881 0.4203
0.1182 0.1119 0.5797
0.3818 0.6119 0.5797
0.6368 0.1481 0.7500
0.8632 0.6481 0.7500
0.1182 0.1119 0.9203
0.3818 0.6119 0.9203


(3)
CdGaO3 PBE-GGA optimized geometry; calculated total energy = -4.875 eV/atom; SG = No. 148
1.0
5.0674 1.4524 -0.6128
3.8731 -3.5863 0.5484
2.7033 -1.7293 -4.7236
Cd Ga O
2 2 6
direct
0.6381 0.6381 0.0856
0.3618 0.3618 0.9144
0.8477 0.8477 0.4568
0.1523 0.1523 0.5432
0.9594 0.5553 0.2766
0.2087 0.9594 0.2766
0.5553 0.2087 0.2766
0.4447 0.7913 0.7234
0.7913 0.0406 0.7234
0.0406 0.4447 0.7234


(4)
CdGaO3 PBE-GGA optimized geometry; calculated total energy = -4.331 eV/atom; SG = No. 99
1.0
-1.9249 -0.6334 2.8935
2.9153 0.2051 1.9843
-0.8084 5.3541 0.6343
Cd Ga O
1 1 3
direct
0.5000 0.5000 0.0884
0.0000 0.0000 0.6842
0.5000 0.5000 0.4608
0.5000 0.0000 0.8333
0.0000 0.5000 0.8333


(5)
CdGaO3 PBE-GGA optimized geometry; calculated total energy = -4.737 eV/atom; SG = No. 167
1.0
-4.4505 -0.4452 -3.5192
-3.5424 4.3477 -0.9688
-0.1843 2.6992 -5.0070
Cd Ga O
2 2 6
direct
0.0000 0.0000 0.0000
0.5000 0.5000 0.5000
0.2500 0.2500 0.2500
0.7500 0.7500 0.7500
0.7500 0.4206 0.0794
0.5794 0.9206 0.2500
0.0794 0.7500 0.4206
0.9206 0.2500 0.5794
0.4206 0.0794 0.7500
0.2500 0.5794 0.9206


(6)
CdGaPO PBE-GGA optimized geometry; ΔE to the lowest computed polymorph = 467.7 meV per atom; SG = No. 129
1.0
4.1861 0.0000 0.0000
0.0000 4.1861 0.0000
0.0000 0.0000 8.7164
Cd Ga O P
2 2 2 2
direct
0.0000 0.5000 0.0777
0.5000 0.0000 0.9223
0.0000 0.0000 0.5000
0.5000 0.5000 0.5000
0.0000 0.0000 0.0000
0.5000 0.5000 0.0000
0.5000 0.0000 0.3441
0.0000 0.5000 0.6559